## Li4Mn2Cr3Sn3O16 (GGA+U)

Data for crystalline Li4Mn2Cr3Sn3O16 at its relaxed geometry.

Calculated values
The density of states at the Fermi level comes out at 0.0112 states/eV per atom. For the total DFT energy (no corrections), the calculation gives -6.646 eV per atom. The total moment is 16.00 μB per formula unit.

a b c (Å): 6.065 6.109 9.657
angles (deg): 88.82 89.65 60.68
Positions (direct):
Li: 0.000 0.000 0.000
Li: 0.002 0.986 0.494
Li: 0.347 0.358 0.591
Li: 0.684 0.683 0.099
Mn: 0.351 0.354 0.012
Mn: 0.683 0.682 0.498
Cr: 0.187 0.664 0.276
Cr: 0.678 0.172 0.276
Cr: 0.837 0.855 0.779
Sn: 0.181 0.173 0.281
Sn: 0.350 0.859 0.780
Sn: 0.842 0.363 0.780
O: 0.004 0.025 0.680
O: 0.013 0.999 0.181
O: 0.063 0.492 0.142
O: 0.173 0.186 0.903
O: 0.178 0.686 0.896
O: 0.345 0.832 0.393
O: 0.354 0.340 0.384
O: 0.493 0.060 0.141
O: 0.494 0.486 0.147
O: 0.529 0.549 0.645
O: 0.531 0.002 0.660
O: 0.680 0.184 0.898
O: 0.683 0.688 0.895
O: 0.848 0.834 0.385
O: 0.850 0.316 0.392
O: 0.969 0.557 0.650